*w*
Rb2BaCa2 PBE relaxed; symmetry = P4/mbm
1.0
11.8449 0.0000 0.0000
0.0000 11.8449 0.0000
0.0000 0.0000 4.4103
Rb Ba Ca
4 2 4
direct
0.1215 0.3785 0.0000
0.3785 0.8785 0.0000
0.6215 0.1215 0.0000
0.8785 0.6215 0.0000
0.0000 0.0000 0.0000
0.5000 0.5000 0.0000
0.1802 0.6802 0.5000
0.3198 0.1802 0.5000
0.6802 0.8198 0.5000
0.8198 0.3198 0.5000

*x*
Rb2BaCa2 PBE relaxed; symmetry = P4/mbm
1.0
11.8171 0.0000 0.0000
0.0000 11.8171 0.0000
0.0000 0.0000 4.5178
Rb Ba Ca
4 2 4
direct
0.1763 0.3237 0.0000
0.3237 0.8237 0.0000
0.6763 0.1763 0.0000
0.8237 0.6763 0.0000
0.0000 0.0000 0.5000
0.5000 0.5000 0.5000
0.1187 0.6187 0.5000
0.3813 0.1187 0.5000
0.6187 0.8813 0.5000
0.8813 0.3813 0.5000

*y*
Rb2BaCa2 PBE relaxed; symmetry = I4/mmm
1.0
-2.4896 2.4896 14.2065
2.4896 -2.4896 14.2065
2.4896 2.4896 -14.2065
Rb Ba Ca
2 1 2
direct
0.1195 0.1195 0.0000
0.8805 0.8805 0.0000
0.5000 0.5000 0.0000
0.2500 0.7500 0.5000
0.7500 0.2500 0.5000

Which one is most stable, and which one is least stable? *x* is the most stable of them, while *y* is the least stable.

*w*
RbBaCa2Rh PBE relaxed; symmetry = P4/mmm
1.0
5.8112 0.0000 0.0000
0.0000 5.8112 0.0000
0.0000 0.0000 6.2253
Rb Ba Ca Rh
1 1 2 1
direct
0.0000 0.0000 0.0000
0.5000 0.5000 0.0000
0.0000 0.5000 0.5000
0.5000 0.0000 0.5000
0.5000 0.5000 0.5000

*x*
RbBaCa2Rh PBE relaxed; symmetry = P4/mmm
1.0
5.6280 0.0000 0.0000
0.0000 5.6280 0.0000
0.0000 0.0000 6.5682
Rb Ba Ca Rh
1 1 2 1
direct
0.0000 0.0000 0.0000
0.5000 0.5000 0.0000
0.0000 0.5000 0.5000
0.5000 0.0000 0.5000
0.0000 0.0000 0.5000

Which one is most stable, and which one is least stable? *w* is the most stable of them, while *x* is the least stable.

*w*
BaCaRh PBE relaxed; symmetry = F-43m
1.0
0.0000 3.6571 3.6571
3.6571 0.0000 3.6571
3.6571 3.6571 0.0000
Ba Ca Rh
1 1 1
direct
0.0000 0.0000 0.0000
0.5000 0.5000 0.5000
0.7500 0.7500 0.7500

*x*
BaCaRh PBE relaxed; symmetry = P3m1
1.0
4.3633 0.0000 0.0000
-2.1817 3.7788 0.0000
0.0000 0.0000 6.6678
Ba Ca Rh
1 1 1
direct
0.0000 0.0000 0.0000
0.6667 0.3333 0.5442
0.3333 0.6667 0.7405

Which one is most stable, and which one is least stable? *x* is the most stable of them, while *w* is the least stable.

*w*
Ba2CaRh2 PBE relaxed; symmetry = P4/mbm
1.0
7.8368 0.0000 0.0000
0.0000 7.8368 0.0000
0.0000 0.0000 4.8980
Ba Ca Rh
4 2 4
direct
0.1718 0.3282 0.0000
0.3282 0.8282 0.0000
0.6718 0.1718 0.0000
0.8282 0.6718 0.0000
0.0000 0.0000 0.5000
0.5000 0.5000 0.5000
0.1170 0.6170 0.5000
0.3830 0.1170 0.5000
0.6170 0.8830 0.5000
0.8830 0.3830 0.5000

*x*
Ba2CaRh2 PBE relaxed; symmetry = P4/mbm
1.0
9.0840 0.0000 0.0000
0.0000 9.0840 0.0000
0.0000 0.0000 3.4893
Ba Ca Rh
4 2 4
direct
0.1316 0.3684 0.0000
0.3684 0.8684 0.0000
0.6316 0.1316 0.0000
0.8684 0.6316 0.0000
0.0000 0.0000 0.0000
0.5000 0.5000 0.0000
0.1754 0.6754 0.5000
0.3246 0.1754 0.5000
0.6754 0.8246 0.5000
0.8246 0.3246 0.5000

*y*
Ba2CaRh2 PBE relaxed; symmetry = I4/mmm
1.0
-2.5156 2.5156 6.1031
2.5156 -2.5156 6.1031
2.5156 2.5156 -6.1031
Ba Ca Rh
2 1 2
direct
0.2500 0.7500 0.5000
0.7500 0.2500 0.5000
0.0000 0.0000 0.0000
0.3951 0.3951 0.0000
0.6049 0.6049 0.0000

Which one is most stable, and which one is least stable? *w* is the most stable of them, while *y* is the least stable.